NdYCo2Si2 after structural relaxation. Source: the Open Quantum Materials Database, functional PBE-GGA.

## Properties
E_tot	-40.57	eV for the cell shown

a = 3.9806 Å, b = 3.9806 Å, c = 6.9354 Å
α = 90.00°, β = 90.00°, γ = 90.00°
Space group P4mm (No. 99)
One atom of each set of equivalent atoms:
Nd: 0.0000 0.0000 0.0000 x1
Y: 0.5000 0.5000 0.3715 x1
Co: 0.0000 0.5000 0.6737 x2
Si: 0.0000 0.0000 0.4968 x1
Si: 0.5000 0.5000 0.8465 x1